# ZrCoSiAg (PBE, relaxed)
data_ZrCoSiAg
_symmetry_space_group_name_H-M 'P 1'
_symmetry_Int_Tables_number 1
_symmetry_space_group_name_Hall 'P 1'
_cell_length_a 4.459
_cell_length_b 4.459
_cell_length_c 4.459
_cell_angle_alpha 60.00
_cell_angle_beta 60.00
_cell_angle_gamma 60.00
loop_
_atom_site_label
_atom_site_type_symbol
_atom_site_fract_x
_atom_site_fract_y
_atom_site_fract_z
_atom_site_occupancy
Ag1 Ag 0.500 0.500 0.500 1
Co1 Co 0.750 0.750 0.750 1
Si1 Si 0.000 0.000 0.000 1
Zr1 Zr 0.250 0.250 0.250 1
# * space group: F-43m
# * E_tot: -6.022 eV/atom